Entry 1:
Density functional theory data (GGA-PBE) for VIn2PPb after structural relaxation.

Properties
E_form ... 1.3 eV per formula unit
Mass density ... 6.82 g/cm³

abc: 5.2997 5.2997 4.4986
angles: 90.00 90.00 90.00
Atoms (fractional coordinates):
V 0.0000 0.0000 0.0000
In 0.0000 0.5000 0.0000
In 0.5000 0.0000 0.0000
P 0.0000 0.0000 0.5000
Pb 0.5000 0.5000 0.5000

=====

Entry 2:
Density functional theory data (GGA-PBE) for ZnIn2Pt2 after structural relaxation.

Properties
E_form ... -2.0 eV per formula unit
Mass density ... 12.10 g/cm³

abc: 7.0963 7.0963 3.7348
angles: 90.00 90.00 90.00
Atoms (fractional coordinates):
Zn 0.0000 0.0000 0.0000
Zn 0.5000 0.5000 0.0000
In 0.1556 0.3444 0.5000
In 0.3444 0.8444 0.5000
In 0.6556 0.1556 0.5000
In 0.8444 0.6556 0.5000
Pt 0.1478 0.6478 0.0000
Pt 0.3522 0.1478 0.0000
Pt 0.6478 0.8522 0.0000
Pt 0.8522 0.3522 0.0000

=====

Entry 3:
Density functional theory data (GGA-PBE) for Mg2NpZn9 after structural relaxation.

Properties
E_form ... -0.6 eV per formula unit
Mass density ... 7.08 g/cm³

abc: 8.9619 8.9619 8.9619
angles: 34.41 34.41 34.41
Atoms (fractional coordinates):
Mg 0.1401 0.1401 0.1401
Mg 0.8599 0.8599 0.8599
Np 0.0000 0.0000 0.0000
Zn 0.0794 0.5884 0.5884
Zn 0.3340 0.3340 0.3340
Zn 0.4116 0.4116 0.9206
Zn 0.4116 0.9206 0.4116
Zn 0.5000 0.5000 0.5000
Zn 0.5884 0.0794 0.5884
Zn 0.5884 0.5884 0.0794
Zn 0.6660 0.6660 0.6660
Zn 0.9206 0.4116 0.4116

=====

Entry 4:
Density functional theory data (GGA-PBE) for CrCoSCl2 after structural relaxation.

Properties
ΔE_f (raw) ... 0.14 eV per atom
Mass density ... 3.73 g/cm³

abc: 4.6505 4.6505 4.3999
angles: 90.00 90.00 90.00
Atoms (fractional coordinates):
Cr 0.0000 0.0000 0.0000
Co 0.5000 0.5000 0.5000
S 0.5000 0.5000 0.0000
Cl 0.0000 0.5000 0.5000
Cl 0.5000 0.0000 0.5000